[1]
10
Lattice="-5.481 -5.215 0.179 5.217 -5.482 0.024 0.055 0.069 3.694" Properties=species:S:1:pos:R:3 comment="Mg2TeAu2 | Alexandria | PBE | relaxed" de_polymorph_mev_per_atom=0.0 density_g_cm3=8.95 dos_ef_per_ev_cell=3.58 energy_ev_per_cell=-29.91 e_form_raw_ev_per_atom=-0.41 pbc="T T T"
Mg 2.593 -4.440 1.892
Au -1.459 -7.992 0.170
Au -2.775 -4.021 0.116
Mg -2.802 -6.189 2.005
Au 1.196 -2.706 0.033
Te 0.000 0.000 0.000
Au 2.512 -6.677 0.087
Mg 0.771 -8.012 1.986
Te -0.132 -5.349 0.102
Mg -0.980 -2.617 1.911

---

[2]
5
Lattice="5.069 0.000 0.000 0.000 5.069 0.000 0.000 0.000 5.621" Properties=species:S:1:pos:R:3 comment="Al2CrCdIn | Alexandria | PBE | relaxed" ef_ev_per_atom=1.52 density_g_cm3=3.83 dos_ef_per_ev_cell=8.10 energy_ev_per_cell=-13.15 pbc="T T T"
Cd 0.000 0.000 0.000
In 0.000 0.000 2.810
Cr 2.535 2.535 2.810
Al 2.535 0.000 0.000
Al 0.000 2.535 0.000

---

[3]
12
Lattice="4.982 -0.030 1.660 0.040 7.486 0.013 -0.006 -0.015 8.323" Properties=species:S:1:pos:R:3 comment="Ca6Ag5Hg | Alexandria | PBE | relaxed" ef_ev_per_atom=-0.35 density_g_cm3=5.24 dos_ef_per_ev_cell=9.63 energy_ev_per_cell=-30.74 pbc="T T T"
Ag 0.020 3.743 0.007
Ag 3.321 -0.030 6.645
Ca 0.859 5.600 5.827
Ca 2.521 5.592 0.840
Ca 2.501 1.864 0.834
Ag 1.681 3.728 3.329
Hg 0.000 0.000 0.000
Ag 3.336 3.713 6.668
Ca 4.157 1.842 4.170
Ca 0.839 1.856 5.820
Ca 4.177 5.585 4.176
Ag 1.655 -0.015 3.338

---

[4]
14
Lattice="4.492 0.000 0.000 -2.246 5.652 0.000 0.000 0.000 17.125" Properties=species:S:1:pos:R:3 comment="Y2HoBi4 | Alexandria | PBE | relaxed" ef_ev_per_atom=-0.60 density_g_cm3=9.00 dos_ef_per_ev_cell=6.51 energy_ev_per_cell=-74.49 pbc="T T T"
Bi 2.246 0.000 8.563
Y 0.000 1.825 1.274
Y 0.000 1.825 7.288
Y 2.246 3.827 15.851
Ho 0.000 5.032 4.281
Y 2.246 3.827 9.837
Bi 2.246 4.004 2.103
Bi 2.246 0.000 0.000
Bi 2.246 4.004 6.460
Bi 0.000 1.734 4.281
Bi 2.246 3.918 12.844
Ho 2.246 0.620 12.844
Bi 0.000 1.648 15.022
Bi 0.000 1.648 10.666

---

[5]
4
Lattice="-3.729 -3.279 1.771 0.386 -2.066 4.835 -3.295 1.565 3.806" Properties=species:S:1:pos:R:3 comment="GdPuBiPd | Alexandria | PBE | relaxed" ef_ev_per_atom=-0.50 density_g_cm3=11.49 dos_ef_per_ev_cell=12.92 energy_ev_per_cell=-39.48 pbc="T T T"
Gd -4.978 -2.835 7.808
Pu -1.659 -0.945 2.603
Bi 0.000 0.000 0.000
Pd -3.319 -1.890 5.206

---

[6]
8
Lattice="-2.883 -3.008 0.784 2.308 -1.355 3.288 -5.999 7.668 7.368" Properties=species:S:1:pos:R:3 comment="InSn3Se4 | Alexandria | PBE | relaxed" de_polymorph_mev_per_atom=0.0 density_g_cm3=5.95 dos_ef_per_ev_cell=1.85 energy_ev_per_cell=-32.07 e_form_raw_ev_per_atom=-0.42 pbc="T T T"
Se 1.007 -0.091 3.356
Se -3.088 1.000 3.946
Sn -3.532 5.711 8.929
In -0.539 1.886 5.254
Sn -1.647 -0.843 2.173
Sn -4.638 2.981 5.849
Se -6.079 4.823 7.620
Se -2.012 3.769 7.067

---

[7]
4
Lattice="-2.618 -0.848 3.665 -0.848 -4.325 1.260 8.889 -1.595 8.847" Properties=species:S:1:pos:R:3 comment="Ba2AcSb | Alexandria | PBE | relaxed" de_polymorph_mev_per_atom=185.1 density_g_cm3=4.60 dos_ef_per_ev_cell=4.52 energy_ev_per_cell=-12.92 e_form_raw_ev_per_atom=-0.21 pbc="T T T"
Ac 0.000 0.000 0.000
Ba 5.518 -1.638 6.429
Ba -0.095 -5.130 7.343
Sb 2.711 -3.384 6.886

---

[8]
11
Lattice="3.515 0.000 -0.936 -0.383 5.570 -1.437 -0.078 -0.086 6.774" Properties=species:S:1:pos:R:3 comment="Ni8Ir2Rh | Alexandria | PBE | relaxed" ef_ev_per_atom=0.02 density_g_cm3=12.06 dos_ef_per_ev_cell=20.30 energy_ev_per_cell=-71.07 pbc="T T T"
Ni 1.880 2.524 -0.007
Ni 0.386 0.990 1.449
Ir 0.514 3.528 1.931
Ni 2.668 4.494 2.952
Rh 1.757 0.000 -0.468
Ni 2.019 5.050 0.514
Ni 3.177 1.457 4.864
Ni -0.123 4.028 -0.463
Ir 2.540 1.956 2.470
Ni 1.174 2.960 4.408
Ni 1.035 0.434 3.887

---

[9]
5
Lattice="-2.656 -2.522 2.787 -0.375 -3.218 -3.268 3.018 -1.705 1.333" Properties=species:S:1:pos:R:3 comment="RbIrNF2 | Alexandria | PBE | relaxed" de_polymorph_mev_per_atom=0.0 density_g_cm3=6.96 dos_ef_per_ev_cell=1.66 energy_ev_per_cell=-26.78 e_form_raw_ev_per_atom=-0.98 pbc="T T T"
F -1.328 -1.261 1.393
Rb -0.006 -3.722 0.426
N 1.509 -0.853 0.666
F -0.187 -1.609 -1.634
Ir 0.000 0.000 0.000

---

[10]
5
Lattice="4.632 0.000 0.000 0.000 4.632 0.000 0.000 0.000 4.632" Properties=species:S:1:pos:R:3 comment="NiBiB3 | Alexandria | PBE | relaxed" ef_ev_per_atom=2.87 de_polymorph_mev_per_atom=1621.2 density_g_cm3=5.01 dos_ef_per_ev_cell=3.47 energy_ev_per_cell=-15.35 pbc="T T T"
Ni 2.316 2.316 2.316
B 2.316 0.000 0.000
B 0.000 2.316 0.000
B 0.000 0.000 2.316
Bi 0.000 0.000 0.000

---

[11]
10
Lattice="-0.366 -0.949 4.072 1.773 -3.737 -0.711 12.680 8.205 0.889" Properties=species:S:1:pos:R:3 comment="Li5I4Br | Alexandria | PBE | relaxed" de_polymorph_mev_per_atom=37.1 density_g_cm3=3.95 dos_ef_per_ev_cell=0.00 energy_ev_per_cell=-29.84 e_form_raw_ev_per_atom=-1.24 pbc="T T T"
Li 8.001 3.504 1.536
I 3.288 -1.211 2.176
Br 0.000 0.000 0.000
Li 0.704 -2.343 1.680
I 8.775 1.192 3.230
I 5.312 2.327 1.020
I 10.799 4.730 2.073
Li 6.087 0.015 2.714
Li 2.435 1.067 0.467
Li 11.652 2.452 3.782

---

[12]
5
Lattice="3.706 0.000 0.000 0.000 3.706 0.000 1.853 1.853 5.556" Properties=species:S:1:pos:R:3 comment="Co2HgGe2 | Alexandria | PBE | relaxed" ef_ev_per_atom=0.12 de_polymorph_mev_per_atom=32.2 density_g_cm3=10.09 dos_ef_per_ev_cell=4.83 energy_ev_per_cell=-23.17 pbc="T T T"
Hg 0.000 0.000 0.000
Co 3.706 3.706 4.316
Ge 1.853 3.706 2.778
Co 1.853 1.853 1.241
Ge 3.706 1.853 2.778

---

[13]
12
Lattice="3.959 0.000 0.000 -1.980 6.451 -1.697 0.000 0.053 12.166" Properties=species:S:1:pos:R:3 comment="Dy4TmSe7 | Alexandria | PBE | relaxed" density_g_cm3=7.32 dos_ef_per_ev_cell=1.66 energy_ev_per_cell=-69.55 e_form_raw_ev_per_atom=-1.86 pbc="T T T"
Se 0.000 4.432 10.399
Dy 1.980 2.626 9.197
Se 1.980 2.065 0.070
Se 1.980 5.953 1.058
Dy 0.000 3.878 1.275
Tm 1.980 5.025 5.713
Se 1.980 3.148 3.482
Se 0.000 6.457 4.407
Dy 0.000 1.474 4.764
Se 0.000 3.401 6.991
Dy 1.980 6.501 10.459
Se 0.000 0.542 9.387

---

[14]
20
Lattice="9.295 -2.089 -2.168 0.982 8.793 -2.091 0.982 -2.415 8.710" Properties=species:S:1:pos:R:3 comment="AcTb2Nd6Ho | Alexandria | PBE | relaxed" ef_ev_per_atom=0.12 density_g_cm3=7.36 dos_ef_per_ev_cell=28.57 energy_ev_per_cell=-90.74 pbc="T T T"
Ho 3.305 1.686 3.713
Nd 8.974 -0.207 5.935
Ac 7.953 -3.688 6.801
Tb 5.665 4.399 3.323
Nd 2.274 4.808 2.554
Nd 6.932 -2.694 3.354
Tb 0.946 2.176 1.016
Tb 5.593 -0.110 1.128
Nd 8.985 -0.519 1.898
Nd 4.327 6.983 1.097
Nd 6.921 1.329 3.815
Nd 4.337 2.960 0.636
Nd 9.891 5.117 -1.735
Ho 7.953 2.603 0.739
Nd 5.243 -0.879 6.133
Nd 1.368 -0.828 6.187
Ac 3.305 7.977 -2.349
Nd 2.284 4.496 -1.484
Nd 6.015 5.168 -1.682
Tb 10.313 2.113 3.435

---

[15]
9
Lattice="5.448 0.000 0.000 2.724 4.718 0.000 0.000 0.000 4.662" Properties=species:S:1:pos:R:3 comment="TlInRuO6 | Alexandria | PBE | relaxed" density_g_cm3=7.16 dos_ef_per_ev_cell=5.05 energy_ev_per_cell=-51.74 e_form_raw_ev_per_atom=-0.85 pbc="T T T"
Tl 5.448 0.000 4.662
O 1.855 2.922 3.421
O 3.458 0.145 1.240
O 3.593 2.923 1.241
In 5.448 3.145 2.331
O 1.120 1.650 1.241
O 1.989 0.145 3.421
O 4.327 1.650 3.421
Ru 2.724 1.572 2.331

---

[16]
8
Lattice="3.788 0.000 0.000 0.000 3.788 0.000 1.894 1.894 9.615" Properties=species:S:1:pos:R:3 comment="AlMo2Cl | Alexandria | PBE | relaxed" de_polymorph_mev_per_atom=626.4 density_g_cm3=6.12 dos_ef_per_ev_cell=6.06 energy_ev_per_cell=-49.20 e_form_raw_ev_per_atom=0.66 pbc="T T T"
Cl 0.000 0.000 0.000
Mo 4.735 4.692 7.211
Mo 0.990 2.841 2.404
Al 1.894 1.894 0.000
Cl 3.788 1.894 4.807
Mo 2.841 2.884 7.211
Al 1.894 3.788 4.807
Mo 2.798 0.947 2.404

---

[17]
4
Lattice="-0.037 -1.971 -1.801 2.151 -0.467 -1.512 3.549 -6.039 4.556" Properties=species:S:1:pos:R:3 comment="ZnNi2Ir | Alexandria | PBE | relaxed" ef_ev_per_atom=-0.04 density_g_cm3=12.28 dos_ef_per_ev_cell=5.40 energy_ev_per_cell=-21.87 pbc="T T T"
Ni 2.843 -4.743 3.152
Ir 2.833 -4.241 0.624
Ni 1.409 -2.106 0.296
Zn 4.958 -7.664 2.347

---

[18]
20
Lattice="5.889 0.000 0.000 0.000 8.569 -2.857 0.000 -0.205 11.994" Properties=species:S:1:pos:R:3 comment="In3SnPb6 | Alexandria | PBE | relaxed" ef_ev_per_atom=0.04 density_g_cm3=9.42 dos_ef_per_ev_cell=10.31 energy_ev_per_cell=-68.10 pbc="T T T"
Pb 4.417 1.662 5.021
Pb 1.472 8.482 1.156
In 4.417 3.280 8.023
In 1.472 5.084 1.114
In 1.472 1.583 7.010
Pb 4.417 5.113 -0.921
Pb 1.472 3.250 10.059
In 1.472 6.838 -1.853
Pb 4.417 3.454 2.091
In 4.417 1.526 10.991
Pb 1.472 4.910 7.047
Pb 1.472 8.349 7.144
Pb 1.472 1.705 1.068
Sn 1.472 3.338 4.081
In 4.417 6.781 2.128
Pb 4.417 -0.119 7.982
Pb 1.472 6.701 4.116
Pb 4.417 0.015 1.993
Pb 4.417 6.658 8.070
Sn 4.417 5.025 5.057

---

[19]
5
Lattice="-0.799 3.836 -0.734 -6.718 -1.593 -1.016 -0.726 0.590 3.875" Properties=species:S:1:pos:R:3 comment="RbZnH2Pd | Alexandria | PBE | relaxed" density_g_cm3=3.88 dos_ef_per_ev_cell=2.57 energy_ev_per_cell=-8.90 pbc="T T T"
Pd -4.121 1.417 1.063
H -0.363 0.295 1.938
H -0.399 1.918 -0.367
Zn -3.359 -0.797 -0.508
Rb 0.000 0.000 0.000

---

[20]
12
Lattice="-5.663 0.939 -2.005 -2.248 -3.904 4.522 2.085 5.832 6.072" Properties=species:S:1:pos:R:3 comment="Tm4TeIr | Alexandria | PBE | relaxed" de_polymorph_mev_per_atom=0.0 density_g_cm3=10.49 dos_ef_per_ev_cell=9.56 energy_ev_per_cell=-69.13 e_form_raw_ev_per_atom=-0.78 pbc="T T T"
Tm -6.129 0.729 2.082
Tm -2.084 4.770 5.335
Tm -3.742 -1.903 3.254
Ir -4.921 0.252 4.530
Tm -2.934 1.881 2.418
Tm 0.303 2.138 6.508
Tm -0.818 0.191 8.763
Tm -2.892 0.986 6.172
Te -4.309 3.422 7.570
Te -1.517 -0.555 1.020
Ir -0.905 2.615 4.060
Tm -5.008 2.676 -0.173